No. 1
VASP calculation (PBE) on NdSm4Dy3 after structural relaxation.

a b c (Å): 7.211 7.205 10.173
angles (deg): 90.00 90.00 90.00
Fractional coordinates of all 16 atoms:
Dy 0.752 0.561 0.750
Dy 0.000 0.311 0.000
Sm 0.500 0.310 0.000
Sm 0.500 0.810 0.500
Dy 0.752 0.561 0.250
Dy 0.000 0.811 0.500
Sm 0.248 0.561 0.750
Nd 0.500 0.811 0.000
Sm 0.752 0.061 0.750
Sm 0.752 0.061 0.250
Dy 0.248 0.061 0.750
Sm 0.000 0.811 0.000
Sm 0.248 0.561 0.250
Sm 0.000 0.311 0.500
Nd 0.500 0.311 0.500
Dy 0.248 0.061 0.250

- Fermi-level density of states (states/eV/atom) = 1.380
- calculated volume (Å³/cell) = 528.5
- SG = Pmna, No. 53
- final energy (eV per atom) = -4.67
- magnetization (Bohr magnetons per cell) = 0.0

No. 2
VASP calculation (PBE) on Nd3Sm4Dy8 after structural relaxation.

a b c (Å): 6.803 9.321 9.321
angles (deg): 87.30 111.40 111.40
Fractional coordinates of all 15 atoms:
Dy 0.000 0.641 0.359
Nd 0.500 0.500 0.500
Dy 0.531 0.268 0.268
Nd 0.500 0.000 0.500
Sm 0.000 0.000 0.000
Dy 0.007 0.266 0.266
Dy 0.469 0.732 0.732
Sm 0.000 0.000 0.500
Dy 0.993 0.734 0.734
Sm 0.500 0.000 0.000
Sm 0.000 0.500 0.000
Dy 0.000 0.359 0.641
Dy 0.500 0.256 0.744
Dy 0.500 0.744 0.256
Nd 0.500 0.500 0.000

- Fermi-level density of states (states/eV/atom) = 1.993
- calculated volume (Å³/cell) = 509.7
- SG = C2/m, No. 12
- final energy (eV per atom) = -4.30
- magnetization (Bohr magnetons per cell) = 0.0

No. 3
VASP calculation (PBE) on Nd2Sm2Dy3 after structural relaxation.

a b c (Å): 9.533 6.248 12.986
angles (deg): 76.06 90.00 139.73
Fractional coordinates of all 14 atoms:
Dy 0.502 0.860 0.284
Nd 0.997 0.853 0.787
Sm 0.999 0.429 0.644
Dy 0.500 0.000 0.000
Dy 0.000 0.286 0.929
Dy 0.000 0.714 0.071
Sm 0.498 0.570 0.859
Dy 0.498 0.140 0.716
Sm 0.001 0.571 0.356
Dy 0.000 0.000 0.500
Sm 0.502 0.430 0.141
Nd 0.499 0.712 0.572
Nd 0.501 0.288 0.428
Nd 0.003 0.147 0.213

- Fermi-level density of states (states/eV/atom) = 1.398
- calculated volume (Å³/cell) = 464.0
- SG = P-1, No. 2
- final energy (eV per atom) = -4.67
- magnetization (Bohr magnetons per cell) = 0.0

Q: What is the Fermi-level density of states in the first record?
A: 1.380 states/eV/atom